A plane-wave DFT calculation with PBE-GGA was carried out for a relaxed LiPmGeIr crystal.

Values from the calculation:
The formation energy comes out at -0.50 eV per atom. For the density of states at the Fermi level, the calculation gives 3.4 states/eV/f.u.

a b c (Å): 4.6738 4.6738 4.6738
angles (deg): 60.00 60.00 60.00
Fractional positions:
Li 0.5000 0.5000 0.5000
Pm 0.7500 0.7500 0.7500
Ge 0.2500 0.2500 0.2500
Ir 0.0000 0.0000 0.0000

=====

A plane-wave DFT calculation with PBE-GGA was carried out for a relaxed LiPr2Ge3Ir4 crystal.

Values from the calculation:
The formation energy comes out at -0.71 eV per atom. For the density of states at the Fermi level, the calculation gives 4.9 states/eV/f.u.

a b c (Å): 4.1886 4.1886 10.5506
angles (deg): 90.00 90.00 90.00
Fractional positions:
Pr 0.0000 0.5000 0.7468
Ir 0.5000 0.0000 0.6359
Ir 0.0000 0.0000 0.0000
Ge 0.5000 0.0000 0.8711
Li 0.5000 0.5000 0.5000
Ge 0.0000 0.5000 0.1289
Ir 0.0000 0.5000 0.3641
Ge 0.0000 0.0000 0.5000
Pr 0.5000 0.0000 0.2532
Ir 0.5000 0.5000 0.0000

=====

A plane-wave DFT calculation with PBE-GGA was carried out for a relaxed LiPrGeIr crystal.

Values from the calculation:
The formation energy comes out at -0.44 eV per atom. For the density of states at the Fermi level, the calculation gives 3.6 states/eV/f.u.

a b c (Å): 4.7195 4.7195 4.7195
angles (deg): 60.00 60.00 60.00
Fractional positions:
Ge 0.2500 0.2500 0.2500
Pr 0.7500 0.7500 0.7500
Li 0.5000 0.5000 0.5000
Ir 0.0000 0.0000 0.0000

=====

A plane-wave DFT calculation with PBE-GGA was carried out for a relaxed LiPr2Ge4Ir3 crystal.

Values from the calculation:
The formation energy comes out at -0.72 eV per atom. For the density of states at the Fermi level, the calculation gives 5.5 states/eV/f.u.

a b c (Å): 4.3529 4.3529 10.0246
angles (deg): 90.00 90.00 90.00
Fractional positions:
Li 0.5000 0.5000 0.5000
Ir 0.5000 0.0000 0.8749
Ir 0.0000 0.5000 0.1251
Ge 0.0000 0.0000 0.0000
Ge 0.5000 0.5000 0.0000
Ir 0.0000 0.0000 0.5000
Ge 0.5000 0.0000 0.6294
Pr 0.5000 0.0000 0.2442
Ge 0.0000 0.5000 0.3706
Pr 0.0000 0.5000 0.7558

=====

A plane-wave DFT calculation with PBE-GGA was carried out for a relaxed LiGeIrPt2 crystal.

Values from the calculation:
The formation energy comes out at 0.61 eV per atom. For the density of states at the Fermi level, the calculation gives 2.3 states/eV/f.u.

a b c (Å): 4.1938 4.2581 4.1938
angles (deg): 90.00 90.00 90.00
Fractional positions:
Ir 0.5000 0.5000 0.5000
Pt 0.0000 0.0000 0.5000
Ge 0.0000 0.5000 0.0000
Pt 0.5000 0.0000 0.0000
Li 0.0000 0.0000 0.0000

=====

A plane-wave DFT calculation with PBE-GGA was carried out for a relaxed LiPuGeIr crystal.

Values from the calculation:
The formation energy comes out at -0.21 eV per atom. For the density of states at the Fermi level, the calculation gives 8.6 states/eV/f.u.

a b c (Å): 4.6810 4.6810 4.6810
angles (deg): 60.00 60.00 60.00
Last column: magnetic moment on the atom in μB.
Fractional positions:
Ir 0.2500 0.2500 0.2500  -0.25
Li 0.5000 0.5000 0.5000  0.00
Ge 0.7500 0.7500 0.7500  -0.01
Pu 0.0000 0.0000 0.0000  4.83

=====

A plane-wave DFT calculation with PBE-GGA was carried out for a relaxed LiPu2Ge3Ir4 crystal.

Values from the calculation:
The formation energy comes out at -0.54 eV per atom. For the density of states at the Fermi level, the calculation gives 25.2 states/eV/f.u.

a b c (Å): 4.0824 4.0824 10.7853
angles (deg): 90.00 90.00 90.00
Last column: magnetic moment on the atom in μB.
Fractional positions:
Ge 0.0000 0.0000 0.5000  0.01
Pu 0.0000 0.5000 0.7412  5.11
Ir 0.0000 0.0000 0.0000  -0.04
Ge 0.5000 0.0000 0.8714  -0.01
Li 0.5000 0.5000 0.5000  0.01
Ir 0.5000 0.0000 0.6446  -0.12
Ir 0.0000 0.5000 0.3554  -0.12
Ge 0.0000 0.5000 0.1286  -0.01
Pu 0.5000 0.0000 0.2589  5.11
Ir 0.5000 0.5000 0.0000  -0.04

=====

A plane-wave DFT calculation with PBE-GGA was carried out for a relaxed LiPu2Ge4Ir3 crystal.

Values from the calculation:
The formation energy comes out at -0.52 eV per atom. For the density of states at the Fermi level, the calculation gives 26.3 states/eV/f.u.

a b c (Å): 4.2896 4.2896 9.9873
angles (deg): 90.00 90.00 90.00
Last column: magnetic moment on the atom in μB.
Fractional positions:
Ge 0.5000 0.5000 0.0000  0.00
Li 0.5000 0.5000 0.5000  0.00
Pu 0.5000 0.0000 0.2494  5.15
Ge 0.5000 0.0000 0.6283  -0.02
Ir 0.5000 0.0000 0.8717  -0.08
Ir 0.0000 0.0000 0.5000  -0.06
Ge 0.0000 0.5000 0.3717  -0.02
Pu 0.0000 0.5000 0.7506  5.15
Ge 0.0000 0.0000 0.0000  -0.01
Ir 0.0000 0.5000 0.1283  -0.08